[1]
Here is an optimized crystal structure of YMgSc2N from the Alexandria database. Energies are from PBE.

a = 5.3678 Å, b = 5.3678 Å, c = 5.5593 Å
α = 90.00°, β = 90.00°, γ = 90.00°
Space group P4/mmm (No. 123)
One atom of each set of equivalent atoms:
1 Y 0.0000 0.0000 0.0000 x1
2 Mg 0.0000 0.0000 0.5000 x1
3 Sc 0.0000 0.5000 0.0000 x2
4 N 0.5000 0.5000 0.5000 x1

Polymorph energy (0 for the lowest one) in meV per atom: 2852
Volume in Å³/cell: 160.2
E_form (uncorrected) in eV/atom: 2.088
Total moment in μB/cell: 2.119

***

[2]
Here is an optimized crystal structure of PmZn2In from the Alexandria database. Energies are from PBE.

a = 4.5971 Å, b = 4.5971 Å, c = 4.1939 Å
α = 90.00°, β = 90.00°, γ = 90.00°
Space group P4/mmm (No. 123)
One atom of each set of equivalent atoms:
1 Pm 0.0000 0.0000 0.0000 x1
2 Zn 0.0000 0.5000 0.5000 x2
3 In 0.5000 0.5000 0.0000 x1

Polymorph energy (0 for the lowest one) in meV per atom: 19
Volume in Å³/cell: 88.6
Total moment in μB/cell: 0.000
Energy relative to the elements in eV per atom: -0.2913